(1)
A relaxed structure of Na3RhCl, computed with GGA-PBE.

Geometry as CIF:
```
data_Na3RhCl
_chemical_formula_sum 'Na3 Rh1 Cl1'
_space_group_name_H-M_alt 'P m -3 m'
_space_group_IT_number 221
_space_group_name_Hall '-P 4 2 3'
_cell_length_a 5.5285
_cell_length_b 5.5285
_cell_length_c 5.5285
_cell_angle_alpha 90.00
_cell_angle_beta 90.00
_cell_angle_gamma 90.00
loop_
_atom_site_label
_atom_site_fract_x
_atom_site_fract_y
_atom_site_fract_z
_atom_site_occupancy
Na1 0.0000 0.0000 0.5000 1
Rh1 0.0000 0.0000 0.0000 1
Cl1 0.5000 0.5000 0.5000 1
```

- Uncorrected formation energy: 0.089 eV/atom
- Offset from the most stable computed form: 177 meV/atom
- Magnetic moment: 1.00 Bohr magnetons per cell

(2)
A relaxed structure of YFe2Rh, computed with GGA-PBE.

Geometry as CIF:
```
data_YFe2Rh
_chemical_formula_sum 'Y1 Fe2 Rh1'
_space_group_name_H-M_alt 'P m m m'
_space_group_IT_number 47
_cell_length_a 3.6553
_cell_length_b 4.0418
_cell_length_c 4.4063
_cell_angle_alpha 90.00
_cell_angle_beta 90.00
_cell_angle_gamma 90.00
loop_
_space_group_symop_operation_xyz
'x,y,z'
'-x,-y,-z'
'-x,-y,z'
'x,y,-z'
'x,-y,-z'
'-x,y,z'
'-x,y,-z'
'x,-y,z'
loop_
_atom_site_label
_atom_site_fract_x
_atom_site_fract_y
_atom_site_fract_z
_atom_site_occupancy
Y1 0.0000 0.0000 0.0000 1
Fe1 0.0000 0.5000 0.5000 1
Fe2 0.5000 0.0000 0.5000 1
Rh1 0.5000 0.5000 0.0000 1
```

- Energy of formation: -0.027 eV per atom
- Magnetic moment: 5.43 Bohr magnetons per cell

(3)
A relaxed structure of KMgMn, computed with GGA-PBE.

Geometry as CIF:
```
data_KMgMn
_chemical_formula_sum 'K2 Mg2 Mn2'
_space_group_name_H-M_alt 'I 4 m m'
_space_group_IT_number 107
_space_group_name_Hall 'I 4 -2'
_cell_length_a 3.6673
_cell_length_b 3.6673
_cell_length_c 13.3417
_cell_angle_alpha 90.00
_cell_angle_beta 90.00
_cell_angle_gamma 90.00
loop_
_atom_site_label
_atom_site_fract_x
_atom_site_fract_y
_atom_site_fract_z
_atom_site_occupancy
K1 0.0000 0.0000 0.0000 1
Mg1 0.0000 0.0000 0.7161 1
Mn1 0.0000 0.0000 0.2953 1
```

- Energy of formation: 0.603 eV per atom
- Offset from the most stable computed form: 12 meV/atom
- Magnetic moment: 7.85 Bohr magnetons per cell

(4)
A relaxed structure of Y2Co2Pt, computed with GGA-PBE.

Geometry as CIF:
```
data_Y2Co2Pt
_chemical_formula_sum 'Y4 Co4 Pt2'
_space_group_name_H-M_alt 'P 4/m b m'
_space_group_IT_number 127
_space_group_name_Hall '-P 4 2ab'
_cell_length_a 6.7782
_cell_length_b 6.7782
_cell_length_c 3.9633
_cell_angle_alpha 90.00
_cell_angle_beta 90.00
_cell_angle_gamma 90.00
loop_
_atom_site_label
_atom_site_fract_x
_atom_site_fract_y
_atom_site_fract_z
_atom_site_occupancy
Y1 0.1841 0.3159 0.0000 1
Co1 0.1173 0.6173 0.5000 1
Pt1 0.0000 0.0000 0.5000 1
```

- Energy of formation: -0.474 eV per atom
- Offset from the most stable computed form: 0 meV/atom
- Magnetic moment: 1.23 Bohr magnetons per cell

(5)
A relaxed structure of PbW2Br, computed with GGA-PBE.

Geometry as CIF:
```
data_PbW2Br
_chemical_formula_sum 'Pb2 W4 Br2'
_space_group_name_H-M_alt 'C m m 2'
_space_group_IT_number 35
_cell_length_a 3.4033
_cell_length_b 5.1928
_cell_length_c 10.0997
_cell_angle_alpha 90.00
_cell_angle_beta 90.00
_cell_angle_gamma 90.00
loop_
_space_group_symop_operation_xyz
'x,y,z'
'-x,-y,z'
'-x,y,z'
'x,-y,z'
'x+1/2,y+1/2,z'
'-x+1/2,-y+1/2,z'
'-x+1/2,y+1/2,z'
'x+1/2,-y+1/2,z'
loop_
_atom_site_label
_atom_site_fract_x
_atom_site_fract_y
_atom_site_fract_z
_atom_site_occupancy
Pb1 0.0000 0.0000 0.0000 1
W1 0.0000 0.0000 0.5561 1
W2 0.0000 0.5000 0.7408 1
Br1 0.0000 0.5000 0.3398 1
```

- Uncorrected formation energy: 0.593 eV/atom
- Offset from the most stable computed form: 236 meV/atom
- Magnetic moment: 0.00 Bohr magnetons per cell

(6)
A relaxed structure of DyErHgPd, computed with GGA-PBE.

Geometry as CIF:
```
data_DyErHgPd
_chemical_formula_sum 'Dy4 Er4 Hg4 Pd4'
_space_group_name_H-M_alt 'F -4 3 m'
_space_group_IT_number 216
_space_group_name_Hall 'F -4 2 3'
_cell_length_a 7.2004
_cell_length_b 7.2004
_cell_length_c 7.2004
_cell_angle_alpha 90.00
_cell_angle_beta 90.00
_cell_angle_gamma 90.00
loop_
_atom_site_label
_atom_site_fract_x
_atom_site_fract_y
_atom_site_fract_z
_atom_site_occupancy
Dy1 0.0000 0.0000 0.0000 1
Er1 0.0000 0.0000 0.5000 1
Hg1 0.2500 0.2500 0.7500 1
Pd1 0.2500 0.2500 0.2500 1
```

- Energy of formation: -0.657 eV per atom
- Offset from the most stable computed form: 39 meV/atom
- Magnetic moment: 0.00 Bohr magnetons per cell

Copy entry 1 word for word.
A relaxed structure of Na3RhCl, computed with GGA-PBE.

Geometry as CIF:
```
data_Na3RhCl
_chemical_formula_sum 'Na3 Rh1 Cl1'
_space_group_name_H-M_alt 'P m -3 m'
_space_group_IT_number 221
_space_group_name_Hall '-P 4 2 3'
_cell_length_a 5.5285
_cell_length_b 5.5285
_cell_length_c 5.5285
_cell_angle_alpha 90.00
_cell_angle_beta 90.00
_cell_angle_gamma 90.00
loop_
_atom_site_label
_atom_site_fract_x
_atom_site_fract_y
_atom_site_fract_z
_atom_site_occupancy
Na1 0.0000 0.0000 0.5000 1
Rh1 0.0000 0.0000 0.0000 1
Cl1 0.5000 0.5000 0.5000 1
```

- Uncorrected formation energy: 0.089 eV/atom
- Offset from the most stable computed form: 177 meV/atom
- Magnetic moment: 1.00 Bohr magnetons per cell

What did the second record say?
A relaxed structure of YFe2Rh, computed with GGA-PBE.

Geometry as CIF:
```
data_YFe2Rh
_chemical_formula_sum 'Y1 Fe2 Rh1'
_space_group_name_H-M_alt 'P m m m'
_space_group_IT_number 47
_cell_length_a 3.6553
_cell_length_b 4.0418
_cell_length_c 4.4063
_cell_angle_alpha 90.00
_cell_angle_beta 90.00
_cell_angle_gamma 90.00
loop_
_space_group_symop_operation_xyz
'x,y,z'
'-x,-y,-z'
'-x,-y,z'
'x,y,-z'
'x,-y,-z'
'-x,y,z'
'-x,y,-z'
'x,-y,z'
loop_
_atom_site_label
_atom_site_fract_x
_atom_site_fract_y
_atom_site_fract_z
_atom_site_occupancy
Y1 0.0000 0.0000 0.0000 1
Fe1 0.0000 0.5000 0.5000 1
Fe2 0.5000 0.0000 0.5000 1
Rh1 0.5000 0.5000 0.0000 1
```

- Energy of formation: -0.027 eV per atom
- Magnetic moment: 5.43 Bohr magnetons per cell

Which formula does entry 4 have?
Y2Co2Pt